No. 1
Material: Ti2InB2
Method: DFT, PBE
State: optimized geometry

formation energy from the elements = 36.1 kJ/mol of formula units
M_tot = 0.00 μB/f.u.
DFT total energy = -6.302 eV/atom
ρ = 5.60 g/cm3
Fermi-level density of states = 0.89 states/eV per atom
symmetry = I4/mmm

Unit cell a=5.393 b=5.393 c=5.393 alpha=138.24 beta=138.24 gamma=60.54
Fractional positions:
Ti1 0.250 0.750 0.500
Ti2 0.750 0.250 0.500
In1 0.000 0.000 0.000
B1 0.410 0.410 0.000
B2 0.590 0.590 0.000

No. 2
Material: Y3Si2Sn2
Method: DFT, PBE
State: optimized geometry

M_tot = 0.00 μB/f.u.
DFT total energy = -6.126 eV/atom
ρ = 5.52 g/cm3
Fermi-level density of states = 0.45 states/eV per atom
ΔE_f (raw) = -662 meV/atom
symmetry = C2/m

Unit cell a=5.953 b=5.953 c=7.783 alpha=113.26 beta=113.26 gamma=42.48
Fractional positions:
Y1 0.000 0.000 0.000
Y2 0.180 0.180 0.654
Y3 0.820 0.820 0.346
Si1 0.293 0.293 0.068
Si2 0.707 0.707 0.932
Sn1 0.457 0.457 0.667
Sn2 0.543 0.543 0.333

No. 3
Material: MgIrSe2
Method: DFT, PBE
State: optimized geometry

M_tot = 0.00 μB/f.u.
DFT total energy = -4.631 eV/atom
ρ = 7.51 g/cm3
Fermi-level density of states = 0.32 states/eV per atom
ΔE_f (raw) = -275 meV/atom
symmetry = P2/m

Unit cell a=4.788 b=3.764 c=4.872 alpha=90.00 beta=109.49 gamma=90.00
Fractional positions:
Mg1 0.000 0.000 0.000
Ir1 0.500 0.000 0.500
Se1 0.283 0.500 0.684
Se2 0.717 0.500 0.316

No. 4
Material: ZrPPt3
Method: DFT, PBE
State: optimized geometry

formation energy from the elements = 552.0 kJ/mol of formula units
M_tot = 0.00 μB/f.u.
DFT total energy = -5.272 eV/atom
ρ = 9.74 g/cm3
Fermi-level density of states = 0.72 states/eV per atom
symmetry = Pm-3m

Unit cell a=4.941 b=4.941 c=4.941 alpha=90.00 beta=90.00 gamma=90.00
Fractional positions:
Zr1 0.000 0.000 0.000
P1 0.500 0.500 0.500
Pt1 0.000 0.000 0.500
Pt2 0.000 0.500 0.000
Pt3 0.500 0.000 0.000

No. 5
Material: As2Au
Method: DFT, PBE
State: optimized geometry

formation energy from the elements = 87.0 kJ/mol of formula units
M_tot = 0.00 μB/f.u.
DFT total energy = -3.891 eV/atom
ρ = 9.67 g/cm3
Fermi-level density of states = 0.27 states/eV per atom
symmetry = Fmmm

Unit cell a=8.073 b=7.710 c=3.119 alpha=85.23 beta=72.13 gamma=22.64
Fractional positions:
As1 0.156 0.156 0.844
As2 0.844 0.844 0.156
Au1 0.500 0.500 0.500

No. 6
Material: Zr2NiOsC
Method: DFT, PBE
State: optimized geometry

formation energy from the elements = 390.7 kJ/mol of formula units
M_tot = 0.00 μB/f.u.
DFT total energy = -7.856 eV/atom
ρ = 7.36 g/cm3
Fermi-level density of states = 0.93 states/eV per atom
symmetry = P4/mmm

Unit cell a=5.117 b=5.117 c=3.822 alpha=90.00 beta=90.00 gamma=90.00
Fractional positions:
Zr1 0.000 0.500 0.000
Zr2 0.500 0.000 0.000
Ni1 0.000 0.000 0.500
Os1 0.500 0.500 0.000
C1 0.500 0.500 0.500

No. 7
Material: TbNd2YHo5
Method: DFT, PBE
State: optimized geometry

formation energy from the elements = 234.1 kJ/mol of formula units
M_tot = 0.00 μB/f.u.
DFT total energy = -4.566 eV/atom
ρ = 7.74 g/cm3
Fermi-level density of states = 1.28 states/eV per atom
symmetry = I4/mcm

Unit cell a=9.939 b=9.939 c=9.939 alpha=128.57 beta=128.57 gamma=75.71
Fractional positions:
Tb1 0.250 0.250 0.000
Tb2 0.750 0.750 0.000
Nd1 0.118 0.618 0.736
Nd2 0.382 0.118 0.500
Nd3 0.618 0.882 0.500
Nd4 0.882 0.382 0.264
Y1 0.250 0.750 0.500
Y2 0.750 0.250 0.500
Ho1 0.000 0.000 0.000
Ho2 0.073 0.147 0.500
Ho3 0.147 0.647 0.074
Ho4 0.353 0.427 0.500
Ho5 0.427 0.927 0.074
Ho6 0.500 0.500 0.000
Ho7 0.573 0.073 0.926
Ho8 0.647 0.573 0.500
Ho9 0.853 0.353 0.926
Ho10 0.927 0.853 0.500

No. 8
Material: Sn5Pb2Au3
Method: DFT, PBE
State: optimized geometry

formation energy from the elements = -93.3 kJ/mol of formula units
M_tot = 0.00 μB/f.u.
DFT total energy = -3.823 eV/atom
ρ = 10.37 g/cm3
Fermi-level density of states = 0.37 states/eV per atom
symmetry = Cmc2_1

Unit cell a=15.015 b=15.015 c=7.668 alpha=90.00 beta=90.00 gamma=162.78
Fractional positions:
Sn1 0.052 0.948 0.500
Sn2 0.122 0.878 0.863
Sn3 0.293 0.707 0.190
Sn4 0.295 0.705 0.621
Sn5 0.401 0.599 0.714
Sn6 0.599 0.401 0.214
Sn7 0.705 0.295 0.121
Sn8 0.707 0.293 0.690
Sn9 0.878 0.122 0.363
Sn10 0.948 0.052 0.000
Pb1 0.168 0.832 0.417
Pb2 0.475 0.525 0.337
Pb3 0.525 0.475 0.837
Pb4 0.832 0.168 0.917
Au1 0.042 0.958 0.116
Au2 0.229 0.771 0.907
Au3 0.390 0.610 0.109
Au4 0.610 0.390 0.609
Au5 0.771 0.229 0.407
Au6 0.958 0.042 0.616

No. 9
Material: La5TbPr2
Method: DFT, PBE
State: optimized geometry

formation energy from the elements = 78.8 kJ/mol of formula units
M_tot = 0.00 μB/f.u.
DFT total energy = -4.751 eV/atom
ρ = 6.39 g/cm3
Fermi-level density of states = 1.47 states/eV per atom
symmetry = Cmcm

Unit cell a=6.760 b=6.760 c=16.735 alpha=90.00 beta=90.00 gamma=129.50
Fractional positions:
La1 0.034 0.966 0.750
La2 0.114 0.886 0.053
La3 0.114 0.886 0.447
La4 0.423 0.577 0.093
La5 0.423 0.577 0.407
La6 0.577 0.423 0.593
La7 0.577 0.423 0.907
La8 0.886 0.114 0.553
La9 0.886 0.114 0.947
La10 0.966 0.034 0.250
Tb1 0.249 0.751 0.250
Tb2 0.751 0.249 0.750
Pr1 0.276 0.724 0.633
Pr2 0.276 0.724 0.867
Pr3 0.724 0.276 0.133
Pr4 0.724 0.276 0.367

No. 10
Material: PaW2C2
Method: DFT, PBE
State: optimized geometry

formation energy from the elements = 24.7 kJ/mol of formula units
M_tot = 0.00 μB/f.u.
DFT total energy = -10.719 eV/atom
ρ = 14.13 g/cm3
Fermi-level density of states = 0.79 states/eV per atom
symmetry = Fddd

Unit cell a=6.384 b=5.814 c=5.725 alpha=67.18 beta=57.08 gamma=55.74
Fractional positions:
Pa1 0.125 0.125 0.125
Pa2 0.875 0.875 0.875
W1 0.228 0.228 0.522
W2 0.478 0.478 0.772
W3 0.522 0.522 0.228
W4 0.772 0.772 0.478
C1 0.174 0.576 0.174
C2 0.424 0.826 0.424
C3 0.576 0.174 0.576
C4 0.826 0.424 0.826

No. 11
Material: TlAg2GeSe4
Method: DFT, PBE
State: optimized geometry

M_tot = 0.00 μB/f.u.
DFT total energy = -3.552 eV/atom
ρ = 6.29 g/cm3
Fermi-level density of states = 0.42 states/eV per atom
ΔE_f (raw) = -224 meV/atom
symmetry = I222

Unit cell a=6.572 b=6.572 c=6.572 alpha=114.80 beta=114.74 gamma=99.33
Fractional positions:
Tl1 0.000 0.000 0.000
Ag1 0.254 0.754 0.500
Ag2 0.746 0.246 0.500
Ge1 0.500 0.500 0.000
Se1 0.145 0.145 0.602
Se2 0.457 0.855 0.000
Se3 0.543 0.543 0.398
Se4 0.855 0.457 0.000

No. 12
Material: PmLuPuMg
Method: DFT, PBE
State: optimized geometry

formation energy from the elements = 61.4 kJ/mol of formula units
M_tot = 6.27 μB/f.u.
DFT total energy = -6.140 eV/atom
ρ = 8.50 g/cm3
Fermi-level density of states = 3.40 states/eV per atom
symmetry = F-43m

Unit cell a=5.458 b=5.458 c=5.458 alpha=60.00 beta=60.00 gamma=60.00
Fractional positions:
Pm1 0.000 0.000 0.000
Lu1 0.500 0.500 0.500
Pu1 0.750 0.750 0.750
Mg1 0.250 0.250 0.250

No. 13
Material: TcBPPd2
Method: DFT, PBE
State: optimized geometry

formation energy from the elements = 784.3 kJ/mol of formula units
M_tot = 0.00 μB/f.u.
DFT total energy = -4.942 eV/atom
ρ = 5.56 g/cm3
Fermi-level density of states = 0.74 states/eV per atom
symmetry = P4/mmm

Unit cell a=4.875 b=4.875 c=4.431 alpha=90.00 beta=90.00 gamma=90.00
Fractional positions:
Tc1 0.000 0.000 0.000
B1 0.500 0.500 0.500
P1 0.000 0.000 0.500
Pd1 0.000 0.500 0.000
Pd2 0.500 0.000 0.000

No. 14
Material: K2ZnW2
Method: DFT, PBE
State: optimized geometry

formation energy from the elements = 712.4 kJ/mol of formula units
M_tot = 0.00 μB/f.u.
DFT total energy = -4.398 eV/atom
ρ = 5.60 g/cm3
Fermi-level density of states = 1.11 states/eV per atom
symmetry = P4/mbm

Unit cell a=10.482 b=10.482 c=2.759 alpha=90.00 beta=90.00 gamma=90.00
Fractional positions:
K1 0.207 0.293 0.000
K2 0.293 0.793 0.000
K3 0.707 0.207 0.000
K4 0.793 0.707 0.000
Zn1 0.000 0.000 0.500
Zn2 0.500 0.500 0.500
W1 0.077 0.577 0.500
W2 0.423 0.077 0.500
W3 0.577 0.923 0.500
W4 0.923 0.423 0.500

No. 15
Material: ScCr2Pt
Method: DFT, PBE
State: optimized geometry

formation energy from the elements = 11.6 kJ/mol of formula units
M_tot = 7.27 μB/f.u.
DFT total energy = -7.875 eV/atom
ρ = 8.74 g/cm3
Fermi-level density of states = 1.26 states/eV per atom
symmetry = Fm-3m

Unit cell a=4.521 b=4.521 c=4.521 alpha=60.00 beta=60.00 gamma=60.00
Fractional positions:
Sc1 0.000 0.000 0.000
Cr1 0.250 0.250 0.250
Cr2 0.750 0.750 0.750
Pt1 0.500 0.500 0.500

No. 16
Material: CuTc2Sb
Method: DFT, PBE
State: optimized geometry

M_tot = 0.00 μB/f.u.
DFT total energy = -6.917 eV/atom
ρ = 10.25 g/cm3
Fermi-level density of states = 0.92 states/eV per atom
ΔE_f (raw) = 321 meV/atom
symmetry = Imm2

Unit cell a=5.118 b=5.118 c=5.118 alpha=142.50 beta=129.94 gamma=64.20
Fractional positions:
Cu1 0.000 0.000 0.000
Tc1 0.493 0.493 0.000
Tc2 0.749 0.249 0.500
Sb1 0.240 0.740 0.500

No. 17
Material: ZrIr2Rh
Method: DFT, PBE
State: optimized geometry

formation energy from the elements = -153.4 kJ/mol of formula units
M_tot = 0.00 μB/f.u.
DFT total energy = -8.803 eV/atom
ρ = 14.96 g/cm3
Fermi-level density of states = 0.91 states/eV per atom
symmetry = Cm

Unit cell a=4.864 b=4.864 c=4.860 alpha=100.17 beta=100.17 gamma=34.64
Fractional positions:
Zr1 0.000 0.000 0.000
Ir1 0.245 0.245 0.715
Ir2 0.502 0.502 0.507
Rh1 0.753 0.753 0.252

No. 18
Material: Ac2PuBi3Pd4
Method: DFT, PBE
State: optimized geometry

formation energy from the elements = -618.3 kJ/mol of formula units
M_tot = 5.48 μB/f.u.
DFT total energy = -6.137 eV/atom
ρ = 10.96 g/cm3
Fermi-level density of states = 1.43 states/eV per atom
symmetry = P-4m2

Unit cell a=4.776 b=4.776 c=11.625 alpha=90.00 beta=90.00 gamma=90.00
Fractional positions:
Ac1 0.000 0.500 0.218
Ac2 0.500 0.000 0.782
Pu1 0.000 0.000 0.500
Bi1 0.000 0.500 0.874
Bi2 0.500 0.000 0.126
Bi3 0.500 0.500 0.500
Pd1 0.000 0.000 0.000
Pd2 0.000 0.500 0.641
Pd3 0.500 0.000 0.359
Pd4 0.500 0.500 0.000

No. 19
Material: Al2Pd7Pt2
Method: DFT, PBE
State: optimized geometry

formation energy from the elements = -321.5 kJ/mol of formula units
M_tot = 0.00 μB/f.u.
DFT total energy = -5.386 eV/atom
ρ = 11.08 g/cm3
Fermi-level density of states = 0.86 states/eV per atom
symmetry = C2/m

Unit cell a=6.173 b=6.173 c=4.877 alpha=98.03 beta=98.03 gamma=77.03
Fractional positions:
Al1 0.202 0.202 0.242
Al2 0.798 0.798 0.758
Pd1 0.000 0.000 0.500
Pd2 0.071 0.419 0.746
Pd3 0.419 0.071 0.746
Pd4 0.449 0.449 0.236
Pd5 0.551 0.551 0.764
Pd6 0.581 0.929 0.254
Pd7 0.929 0.581 0.254
Pt1 0.187 0.813 0.000
Pt2 0.813 0.187 0.000

No. 20
Material: Zn2PdAu4
Method: DFT, PBE
State: optimized geometry

formation energy from the elements = -56.4 kJ/mol of formula units
M_tot = 0.00 μB/f.u.
DFT total energy = -3.062 eV/atom
ρ = 13.79 g/cm3
Fermi-level density of states = 0.36 states/eV per atom
symmetry = I-42d

Unit cell a=6.845 b=6.845 c=6.845 alpha=109.79 beta=109.79 gamma=108.83
Fractional positions:
Zn1 0.008 0.625 0.883
Zn2 0.375 0.258 0.383
Zn3 0.742 0.125 0.117
Zn4 0.875 0.992 0.617
Pd1 0.250 0.750 0.500
Pd2 0.500 0.500 0.000
Au1 0.112 0.366 0.580
Au2 0.116 0.362 0.080
Au3 0.282 0.035 0.920
Au4 0.468 0.888 0.254
Au5 0.634 0.215 0.746
Au6 0.638 0.718 0.754
Au7 0.785 0.532 0.420
Au8 0.965 0.884 0.246

No. 21
Material: Tl2Hg3Te4
Method: DFT, PBE
State: optimized geometry

M_tot = 0.00 μB/f.u.
DFT total energy = -2.217 eV/atom
ρ = 8.09 g/cm3
ΔE_f (raw) = -194 meV/atom
symmetry = C2/c

Unit cell a=7.571 b=7.571 c=14.222 alpha=113.23 beta=113.23 gamma=59.22
Fractional positions:
Tl1 0.029 0.705 0.950
Tl2 0.295 0.971 0.550
Tl3 0.705 0.029 0.450
Tl4 0.971 0.295 0.050
Hg1 0.036 0.288 0.353
Hg2 0.288 0.036 0.853
Hg3 0.389 0.611 0.250
Hg4 0.611 0.389 0.750
Hg5 0.712 0.964 0.147
Hg6 0.964 0.712 0.647
Te1 0.013 0.324 0.735
Te2 0.305 0.529 0.564
Te3 0.324 0.013 0.235
Te4 0.471 0.695 0.936
Te5 0.529 0.305 0.064
Te6 0.676 0.987 0.765
Te7 0.695 0.471 0.436
Te8 0.987 0.676 0.265

No. 22
Material: Rb2AlPbF6
Method: DFT, PBE
State: optimized geometry

M_tot = 1.00 μB/f.u.
DFT total energy = -4.843 eV/atom
ρ = 4.42 g/cm3
Fermi-level density of states = 0.00 states/eV per atom
ΔE_f (raw) = -2782 meV/atom
symmetry = I4/mmm

Unit cell a=6.790 b=6.790 c=6.790 alpha=126.63 beta=126.63 gamma=78.85
Fractional positions:
Rb1 0.250 0.750 0.500
Rb2 0.750 0.250 0.500
Al1 0.000 0.000 0.000
Pb1 0.500 0.500 0.000
F1 0.173 0.173 0.000
F2 0.214 0.214 0.429
F3 0.214 0.786 0.000
F4 0.786 0.214 0.000
F5 0.786 0.786 0.571
F6 0.827 0.827 0.000

No. 23
Material: LiCoP2
Method: DFT, PBE
State: optimized geometry

formation energy from the elements = -34.5 kJ/mol of formula units
M_tot = 0.00 μB/f.u.
DFT total energy = -5.049 eV/atom
ρ = 4.52 g/cm3
Fermi-level density of states = 0.54 states/eV per atom
symmetry = P4/mmm

Unit cell a=3.717 b=3.717 c=3.395 alpha=90.00 beta=90.00 gamma=90.00
Fractional positions:
Li1 0.000 0.000 0.000
Co1 0.500 0.500 0.000
P1 0.000 0.500 0.500
P2 0.500 0.000 0.500

No. 24
Material: Na4TlIn
Method: DFT, PBE
State: optimized geometry

formation energy from the elements = 30.9 kJ/mol of formula units
M_tot = 0.00 μB/f.u.
DFT total energy = -1.677 eV/atom
ρ = 3.85 g/cm3
Fermi-level density of states = 0.41 states/eV per atom
symmetry = F-43m

Unit cell a=6.307 b=6.307 c=6.307 alpha=60.00 beta=60.00 gamma=60.00
Fractional positions:
Na1 0.125 0.125 0.125
Na2 0.125 0.125 0.624
Na3 0.125 0.624 0.125
Na4 0.624 0.125 0.125
Tl1 0.750 0.750 0.750
In1 0.500 0.500 0.500